Computed, not measured: a relaxed structure of TaTl2Se at the PBE-GGA level of DFT.

Values from the calculation:
**Total moment**: 0.00 μB/cell
**Offset from the most stable computed form**: 595 meV per atom
**E_form (uncorrected)**: 0.5364 eV/atom

a b c (Å): 5.883 10.692 3.449
angles (deg): 90.00 121.82 90.00
Space group C2/m (No. 12)
Unique sites:
Ta (0.000, 0.000, 0.000) x2
Tl (0.250, 0.250, 0.500) x4
Se (0.000, 0.500, 0.000) x2